The following is a PBE calculation of a relaxed FePdW2 crystal, from Alexandria via LeMat-Bulk.

Cell lengths 9.2800, 9.2800, 9.2800 Å; angles 156.43, 156.43, 33.58 degrees
Last column: nearest neighbours and their distance in Å.
Element x y z (fractional)
1 Fe 0.0000 0.0000 0.0000  4 W 2.57, 4 Pd 2.68
2 Fe 0.7500 0.2500 0.5000  4 W 2.57, 4 Pd 2.68
3 Pd 0.2500 0.7500 0.5000  4 W 2.62, 4 Fe 2.68
4 Pd 0.5000 0.5000 0.0000  4 W 2.62, 4 Fe 2.68
5 W 0.1047 0.6250 0.9797  2 Fe 2.57, 4 W 2.57-2.79, 2 Pd 2.62
6 W 0.3750 0.3547 0.4797  2 Fe 2.57, 4 W 2.57-2.79, 2 Pd 2.62
7 W 0.6453 0.1250 0.0203  2 Fe 2.57, 4 W 2.57-2.79, 2 Pd 2.62
8 W 0.8750 0.8953 0.5203  2 Fe 2.57, 4 W 2.57-2.79, 2 Pd 2.62

Summary:
* offset from the most stable computed form: 0.370 eV per atom
* calculated formation energy: 0.830 eV/atom
* VASP energy: -0.6659 Ry/atom

---

The following is a PBE calculation of a relaxed Fe3Pd12W crystal, from Alexandria via LeMat-Bulk.

Cell lengths 3.9090, 3.9090, 15.6301 Å; angles 90.00, 90.00, 90.00 degrees
Last column: nearest neighbours and their distance in Å.
Element x y z (fractional)
1 Fe 0.0000 0.0000 0.0000  12 Pd 2.76
2 Fe 0.0000 0.0000 0.2431  12 Pd 2.69-2.86
3 Fe 0.0000 0.0000 0.7569  12 Pd 2.69-2.86
4 Pd 0.0000 0.5000 0.1248  4 Fe 2.69-2.76, 8 Pd 2.76-2.77
5 Pd 0.0000 0.5000 0.3767  2 W 2.74, 8 Pd 2.74-2.78, 2 Fe 2.86
6 Pd 0.0000 0.5000 0.6233  2 W 2.74, 8 Pd 2.74-2.78, 2 Fe 2.86
7 Pd 0.0000 0.5000 0.8752  4 Fe 2.69-2.76, 8 Pd 2.76-2.77
8 Pd 0.5000 0.0000 0.1248  4 Fe 2.69-2.76, 8 Pd 2.76-2.77
9 Pd 0.5000 0.0000 0.3767  2 W 2.74, 8 Pd 2.74-2.78, 2 Fe 2.86
10 Pd 0.5000 0.0000 0.6233  2 W 2.74, 8 Pd 2.74-2.78, 2 Fe 2.86
11 Pd 0.5000 0.0000 0.8752  4 Fe 2.69-2.76, 8 Pd 2.76-2.77
12 Pd 0.5000 0.5000 0.0000  8 Pd 2.76, 4 Fe 2.76
13 Pd 0.5000 0.5000 0.2504  4 Fe 2.77, 8 Pd 2.77-2.78
14 Pd 0.5000 0.5000 0.5000  8 Pd 2.74, 4 W 2.76
15 Pd 0.5000 0.5000 0.7496  4 Fe 2.77, 8 Pd 2.77-2.78
16 W 0.0000 0.0000 0.5000  12 Pd 2.74-2.76

Summary:
* calculated formation energy: -0.074 eV/atom
* VASP energy: -0.4678 Ry/atom

---

The following is a PBE calculation of a relaxed FePdW2 crystal, from Alexandria via LeMat-Bulk.

Cell lengths 4.3848, 4.3848, 4.3848 Å; angles 60.00, 60.00, 60.00 degrees
Last column: nearest neighbours and their distance in Å.
Element x y z (fractional)
1 Fe 0.0000 0.0000 0.0000  8 W 2.69
2 Pd 0.5000 0.5000 0.5000  8 W 2.69
3 W 0.2500 0.2500 0.2500  4 Fe 2.69, 4 Pd 2.69
4 W 0.7500 0.7500 0.7500  4 Fe 2.69, 4 Pd 2.69

Summary:
* offset from the most stable computed form: 0.000 eV per atom
* calculated formation energy: 0.460 eV/atom
* VASP energy: -0.6931 Ry/atom